This record from Alexandria describes an optimized crystal structure of Nd2YGa6. The functional is GGA-PBE.

Cell: 4.396 7.119 7.994 Å, 116.44 105.96 90.00°
Sites, in units of the cell vectors:
Ga: 0.323 0.136 0.645
Nd: 0.130 0.130 0.260
Ga: 0.677 0.864 0.355
Ga: 0.677 0.490 0.355
Nd: 0.870 0.870 0.740
Y: 0.000 0.500 0.000
Ga: 0.323 0.510 0.645
Ga: 0.500 0.808 0.000
Ga: 0.500 0.192 0.000

Results
* final energy: -38.09 eV per cell
* SG: No. 71
* calculated formation energy: -379 kJ/mol of formula units

This record from Alexandria describes an optimized crystal structure of NdYGa3. The functional is GGA-PBE.

Cell: 4.213 4.301 13.067 Å, 99.47 90.00 90.00°
Sites, in units of the cell vectors:
Y: 0.250 0.796 0.593
Ga: 0.250 0.380 0.759
Ga: 0.750 0.323 0.646
Ga: 0.750 0.524 0.048
Ga: 0.750 0.620 0.241
Nd: 0.750 0.927 0.853
Y: 0.750 0.204 0.407
Nd: 0.250 0.073 0.147
Ga: 0.250 0.677 0.354
Ga: 0.250 0.476 0.952

Results
* final energy: -47.43 eV per cell
* SG: No. 63
* calculated formation energy: -328 kJ/mol of formula units

This record from Alexandria describes an optimized crystal structure of NdY4Ga4. The functional is GGA-PBE.

Cell: 5.939 9.212 9.212 Å, 90.00 90.00 90.00°
Sites, in units of the cell vectors:
Ga: 0.872 0.277 0.863
Ga: 0.628 0.223 0.637
Y: 0.119 0.176 0.593
Y: 0.881 0.407 0.176
Ga: 0.372 0.363 0.223
Y: 0.619 0.093 0.324
Nd: 0.000 0.000 0.000
Y: 0.381 0.676 0.093
Ga: 0.128 0.863 0.723
Ga: 0.128 0.137 0.277
Y: 0.619 0.907 0.676
Y: 0.881 0.593 0.824
Y: 0.119 0.824 0.407
Y: 0.381 0.324 0.907
Ga: 0.372 0.637 0.777
Ga: 0.872 0.723 0.137
Nd: 0.500 0.500 0.500
Ga: 0.628 0.777 0.363

Results
* final energy: -92.42 eV per cell
* SG: No. 86
* calculated formation energy: -336 kJ/mol of formula units

This record from Alexandria describes an optimized crystal structure of NdYGa. The functional is GGA-PBE.

Cell: 5.297 5.297 6.623 Å, 90.00 90.00 119.97°
Sites, in units of the cell vectors:
Nd: 0.000 0.500 0.500
Y: 0.333 0.167 0.250
Ga: 0.333 0.167 0.750
Y: 0.667 0.833 0.750
Nd: 0.000 0.500 0.000
Ga: 0.667 0.833 0.250

Results
* final energy: -30.77 eV per cell
* SG: No. 194
* calculated formation energy: -109 kJ/mol of formula units

This record from Alexandria describes an optimized crystal structure of Nd5YGa6. The functional is GGA-PBE.

Cell: 5.197 7.351 8.229 Å, 90.00 71.59 90.00°
Sites, in units of the cell vectors:
Ga: 0.836 0.245 0.327
Ga: 0.164 0.245 0.673
Ga: 0.164 0.755 0.673
Nd: 0.000 0.500 0.000
Ga: 0.836 0.755 0.327
Ga: 0.500 0.754 0.000
Nd: 0.669 0.500 0.661
Nd: 0.666 0.000 0.668
Nd: 0.331 0.500 0.339
Nd: 0.334 0.000 0.332
Y: 0.000 0.000 0.000
Ga: 0.500 0.246 0.000

Results
* final energy: -55.22 eV per cell
* SG: No. 65
* calculated formation energy: -652 kJ/mol of formula units

This record from Alexandria describes an optimized crystal structure of NdYGa. The functional is GGA-PBE.

Cell: 3.788 5.029 5.029 Å, 120.00 90.00 90.00°
Sites, in units of the cell vectors:
Nd: 0.625 0.333 0.667
Y: 0.085 0.000 0.000
Ga: 0.290 0.667 0.333

Results
* final energy: -15.09 eV per cell
* SG: No. 156
* calculated formation energy: -81 kJ/mol of formula units

This record from Alexandria describes an optimized crystal structure of NdYGa. The functional is GGA-PBE.

Cell: 5.049 5.049 5.049 Å, 60.00 60.00 60.00°
Sites, in units of the cell vectors:
Nd: 0.000 0.000 0.000
Y: 0.500 0.500 0.500
Ga: 0.250 0.250 0.250

Results
* final energy: -15.01 eV per cell
* SG: No. 216
* calculated formation energy: -73 kJ/mol of formula units

This record from Alexandria describes an optimized crystal structure of Nd2YGa6. The functional is GGA-PBE.

Cell: 4.255 7.369 7.369 Å, 120.00 90.00 90.00°
Sites, in units of the cell vectors:
Y: 0.000 0.000 0.000
Ga: 0.500 0.332 0.332
Ga: 0.500 0.332 0.000
Ga: 0.500 0.000 0.332
Nd: 0.000 0.667 0.333
Nd: 0.000 0.333 0.667
Ga: 0.500 0.668 0.000
Ga: 0.500 0.000 0.668
Ga: 0.500 0.668 0.668

Results
* final energy: -40.24 eV per cell
* SG: No. 191
* calculated formation energy: -586 kJ/mol of formula units

This record from Alexandria describes an optimized crystal structure of Nd8YGa6. The functional is GGA-PBE.

Cell: 8.867 8.867 8.140 Å, 57.00 57.00 60.00°
Sites, in units of the cell vectors:
Y: 0.000 0.000 0.000
Ga: 0.729 0.383 0.833
Nd: 0.448 0.779 0.660
Ga: 0.055 0.729 0.833
Nd: 0.888 0.552 0.340
Ga: 0.617 0.945 0.167
Nd: 0.112 0.448 0.660
Nd: 0.666 0.666 0.003
Ga: 0.945 0.271 0.167
Nd: 0.334 0.334 0.997
Ga: 0.383 0.055 0.833
Nd: 0.552 0.221 0.340
Ga: 0.271 0.617 0.167
Nd: 0.221 0.888 0.340
Nd: 0.779 0.112 0.660

Results
* final energy: -68.17 eV per cell
* SG: No. 148
* calculated formation energy: -521 kJ/mol of formula units

This record from Alexandria describes an optimized crystal structure of Nd5Y2Ga4. The functional is GGA-PBE.

Cell: 3.592 7.935 11.760 Å, 108.52 98.78 90.00°
Sites, in units of the cell vectors:
Ga: 0.004 0.673 0.008
Ga: 0.580 0.576 0.159
Nd: 0.500 0.000 0.000
Y: 0.725 0.678 0.449
Nd: 0.858 0.087 0.715
Ga: 0.996 0.327 0.992
Nd: 0.871 0.672 0.742
Nd: 0.142 0.913 0.285
Y: 0.275 0.322 0.551
Nd: 0.129 0.328 0.258
Ga: 0.420 0.424 0.841

Results
* final energy: -50.51 eV per cell
* SG: No. 12
* calculated formation energy: -158 kJ/mol of formula units

This record from Alexandria describes an optimized crystal structure of NdY2Ga. The functional is GGA-PBE.

Cell: 3.652 3.652 10.520 Å, 80.00 80.00 60.00°
Sites, in units of the cell vectors:
Ga: 0.666 0.666 0.001
Y: 0.069 0.069 0.792
Y: 0.264 0.264 0.208
Nd: 0.500 0.500 0.499

Results
* final energy: -21.55 eV per cell
* SG: No. 160
* calculated formation energy: -80 kJ/mol of formula units

This record from Alexandria describes an optimized crystal structure of NdYGa. The functional is GGA-PBE.

Cell: 3.745 5.318 8.540 Å, 90.01 102.62 90.00°
Sites, in units of the cell vectors:
Ga: 0.512 0.525 0.709
Y: 0.153 0.525 0.992
Y: 0.708 0.026 0.102
Nd: 0.855 0.526 0.396
Ga: 0.349 0.026 0.384
Nd: 0.005 0.025 0.697

Results
* final energy: -30.81 eV per cell
* SG: No. 2
* calculated formation energy: -111 kJ/mol of formula units

This record from Alexandria describes an optimized crystal structure of Nd3Y4Ga4. The functional is GGA-PBE.

Cell: 4.973 7.316 9.399 Å, 112.91 105.34 90.00°
Sites, in units of the cell vectors:
Ga: 0.500 0.814 0.000
Y: 0.675 0.898 0.351
Ga: 0.812 0.312 0.623
Nd: 0.104 0.104 0.208
Nd: 0.000 0.500 0.000
Ga: 0.500 0.186 0.000
Nd: 0.896 0.896 0.792
Y: 0.675 0.452 0.351
Ga: 0.188 0.688 0.377
Y: 0.325 0.102 0.649
Y: 0.325 0.548 0.649

Results
* final energy: -56.55 eV per cell
* SG: No. 71
* calculated formation energy: -413 kJ/mol of formula units

This record from Alexandria describes an optimized crystal structure of NdYGa6. The functional is GGA-PBE.

Cell: 4.605 6.368 6.368 Å, 119.97 90.00 90.00°
Sites, in units of the cell vectors:
Ga: 0.500 0.896 0.542
Ga: 0.500 0.458 0.104
Y: 0.000 0.083 0.917
Ga: 0.000 0.607 0.393
Ga: 0.000 0.036 0.393
Nd: 0.500 0.416 0.584
Ga: 0.500 0.896 0.104
Ga: 0.000 0.607 0.964

Results
* final energy: -33.83 eV per cell
* SG: No. 187
* calculated formation energy: -428 kJ/mol of formula units

This record from Alexandria describes an optimized crystal structure of NdYGa. The functional is GGA-PBE.

Cell: 3.534 3.534 7.146 Å, 104.32 104.32 90.00°
Sites, in units of the cell vectors:
Nd: 0.596 0.596 0.192
Ga: 0.946 0.946 0.891
Y: 0.309 0.309 0.617

Results
* final energy: -15.34 eV per cell
* SG: No. 107
* calculated formation energy: -104 kJ/mol of formula units

This record from Alexandria describes an optimized crystal structure of NdY2Ga4. The functional is GGA-PBE.

Cell: 4.168 4.330 9.643 Å, 102.98 102.48 90.00°
Sites, in units of the cell vectors:
Ga: 0.352 0.352 0.705
Ga: 0.648 0.648 0.295
Nd: 0.500 0.000 0.000
Ga: 0.068 0.568 0.135
Ga: 0.932 0.432 0.865
Y: 0.185 0.185 0.369
Y: 0.815 0.815 0.631

Results
* final energy: -34.53 eV per cell
* SG: No. 71
* calculated formation energy: -457 kJ/mol of formula units

This record from Alexandria describes an optimized crystal structure of Nd4YGa5. The functional is GGA-PBE.

Cell: 3.666 3.666 18.421 Å, 90.00 90.00 90.00°
Sites, in units of the cell vectors:
Ga: 0.500 0.500 0.297
Ga: 0.500 0.500 0.092
Y: 0.000 0.000 0.000
Nd: 0.000 0.000 0.195
Ga: 0.500 0.500 0.500
Ga: 0.500 0.500 0.703
Ga: 0.500 0.500 0.908
Nd: 0.000 0.000 0.399
Nd: 0.000 0.000 0.805
Nd: 0.000 0.000 0.601

Results
* final energy: -46.35 eV per cell
* SG: No. 123
* calculated formation energy: -548 kJ/mol of formula units

This record from Alexandria describes an optimized crystal structure of NdY2Ga. The functional is GGA-PBE.

Cell: 5.050 5.050 6.022 Å, 65.21 65.21 60.00°
Sites, in units of the cell vectors:
Y: 0.273 0.273 0.182
Ga: 0.000 0.000 0.000
Nd: 0.500 0.500 0.500
Y: 0.727 0.727 0.818

Results
* final energy: -20.86 eV per cell
* SG: No. 166
* calculated formation energy: -14 kJ/mol of formula units

This record from Alexandria describes an optimized crystal structure of NdY3Ga3. The functional is GGA-PBE.

Cell: 4.800 9.298 9.298 Å, 120.00 90.00 90.00°
Sites, in units of the cell vectors:
Ga: 0.750 0.608 0.057
Y: 0.250 0.239 0.259
Y: 0.750 0.761 0.741
Ga: 0.250 0.057 0.449
Y: 0.250 0.020 0.761
Y: 0.250 0.741 0.980
Ga: 0.250 0.392 0.943
Nd: 0.750 0.333 0.667
Ga: 0.750 0.449 0.392
Nd: 0.250 0.667 0.333
Ga: 0.250 0.551 0.608
Y: 0.750 0.259 0.020
Ga: 0.750 0.943 0.551
Y: 0.750 0.980 0.239

Results
* final energy: -72.77 eV per cell
* SG: No. 176
* calculated formation energy: -303 kJ/mol of formula units

This record from Alexandria describes an optimized crystal structure of Nd2YGa2. The functional is GGA-PBE.

Cell: 4.531 7.769 7.769 Å, 90.00 90.00 90.00°
Sites, in units of the cell vectors:
Ga: 0.000 0.381 0.881
Ga: 0.000 0.119 0.381
Nd: 0.500 0.326 0.174
Y: 0.000 0.500 0.500
Nd: 0.500 0.174 0.674
Ga: 0.000 0.619 0.119
Ga: 0.000 0.881 0.619
Nd: 0.500 0.674 0.826
Y: 0.000 0.000 0.000
Nd: 0.500 0.826 0.326

Results
* final energy: -49.25 eV per cell
* SG: No. 127
* calculated formation energy: -248 kJ/mol of formula units

This record from Alexandria describes an optimized crystal structure of Nd5YGa6. The functional is GGA-PBE.

Cell: 5.197 9.002 9.011 Å, 60.03 73.22 54.69°
Sites, in units of the cell vectors:
Nd: 0.500 0.171 0.658
Nd: 0.500 0.829 0.342
Ga: 0.244 0.920 0.673
Ga: 0.737 0.763 0.000
Ga: 0.756 0.407 0.673
Ga: 0.263 0.237 0.000
Nd: 0.500 0.500 0.000
Nd: 0.000 0.664 0.671
Nd: 0.000 0.336 0.329
Ga: 0.756 0.080 0.327
Y: 0.000 0.000 0.000
Ga: 0.244 0.593 0.327

Results
* final energy: -55.21 eV per cell
* SG: No. 12
* calculated formation energy: -651 kJ/mol of formula units

This record from Alexandria describes an optimized crystal structure of Nd4YGa4. The functional is GGA-PBE.

Cell: 4.801 10.329 10.329 Å, 90.00 90.00 90.00°
Sites, in units of the cell vectors:
Nd: 0.500 0.854 0.633
Ga: 0.500 0.930 0.167
Ga: 0.000 0.333 0.430
Nd: 0.000 0.867 0.354
Nd: 0.500 0.146 0.367
Ga: 0.500 0.167 0.070
Nd: 0.500 0.367 0.854
Ga: 0.500 0.833 0.930
Nd: 0.500 0.633 0.146
Nd: 0.000 0.133 0.646
Ga: 0.500 0.070 0.833
Nd: 0.000 0.646 0.867
Ga: 0.000 0.570 0.333
Ga: 0.000 0.430 0.667
Ga: 0.000 0.667 0.570
Y: 0.000 0.000 0.000
Y: 0.500 0.500 0.500
Nd: 0.000 0.354 0.133

Results
* final energy: -82.49 eV per cell
* SG: No. 87
* calculated formation energy: -347 kJ/mol of formula units

This record from Alexandria describes an optimized crystal structure of Nd5YGa4. The functional is GGA-PBE.

Cell: 4.324 7.913 9.064 Å, 96.69 103.80 90.00°
Sites, in units of the cell vectors:
Ga: 0.031 0.257 0.061
Nd: 0.196 0.298 0.392
Ga: 0.299 0.985 0.598
Nd: 0.860 0.249 0.719
Ga: 0.701 0.015 0.402
Y: 0.500 0.000 0.000
Nd: 0.140 0.751 0.281
Ga: 0.969 0.743 0.939
Nd: 0.500 0.500 0.000
Nd: 0.804 0.702 0.608

Results
* final energy: -45.40 eV per cell
* SG: No. 12
* calculated formation energy: -288 kJ/mol of formula units